# 1
! PBE Sr4SmTl5, optimized geometry; values from VASP
&SYSTEM
  ibrav = 0, nat = 10, ntyp = 3
/
ATOMIC_SPECIES
Sr 87.62 Sr.upf
Sm 150.36 Sm.upf
Tl 204.38 Tl.upf
CELL_PARAMETERS angstrom
4.034 0.000 0.000
0.000 4.034 0.000
0.000 0.000 20.372
ATOMIC_POSITIONS angstrom
Sr 0.000 0.000 2.081
Sr 0.000 0.000 6.223
Sr 0.000 0.000 14.148
Sr 0.000 0.000 18.290
Sm 0.000 0.000 10.186
Tl 2.017 2.017 0.000
Tl 2.017 2.017 4.136
Tl 2.017 2.017 8.371
Tl 2.017 2.017 12.001
Tl 2.017 2.017 16.236
! space-group type	P4/mmm, No. 123

=====

# 2
! PBE SrSm2Tl, optimized geometry; values from VASP
&SYSTEM
  ibrav = 0, nat = 4, ntyp = 3
/
ATOMIC_SPECIES
Sr 87.62 Sr.upf
Sm 150.36 Sm.upf
Tl 204.38 Tl.upf
CELL_PARAMETERS angstrom
1.877 1.084 12.190
-1.877 1.084 12.190
0.000 -2.167 12.190
ATOMIC_POSITIONS angstrom
Sr 0.000 0.000 0.000
Sm 0.000 0.000 3.642
Sm 0.000 0.000 32.928
Tl 0.000 0.000 18.285
! relative energy among the computed polymorphs	176.8	meV per atom
! space-group type	R-3m, No. 166

=====

# 3
! PBE SrSm4Tl5, optimized geometry; values from VASP
&SYSTEM
  ibrav = 0, nat = 10, ntyp = 3
/
ATOMIC_SPECIES
Sr 87.62 Sr.upf
Sm 150.36 Sm.upf
Tl 204.38 Tl.upf
CELL_PARAMETERS angstrom
3.895 0.000 0.000
0.000 3.895 0.000
0.000 0.000 19.659
ATOMIC_POSITIONS angstrom
Sr 0.000 0.000 0.000
Sm 0.000 0.000 4.062
Sm 0.000 0.000 7.919
Sm 0.000 0.000 11.740
Sm 0.000 0.000 15.597
Tl 1.948 1.948 2.204
Tl 1.948 1.948 6.025
Tl 1.948 1.948 9.830
Tl 1.948 1.948 13.634
Tl 1.948 1.948 17.456
! space-group type	P4/mmm, No. 123

=====

# 4
! PBE Sr2SmTl, optimized geometry; values from VASP
&SYSTEM
  ibrav = 0, nat = 4, ntyp = 3
/
ATOMIC_SPECIES
Sr 87.62 Sr.upf
Sm 150.36 Sm.upf
Tl 204.38 Tl.upf
CELL_PARAMETERS angstrom
1.933 1.116 12.535
-1.933 1.116 12.535
0.000 -2.232 12.535
ATOMIC_POSITIONS angstrom
Sr 0.000 0.000 3.656
Sr 0.000 0.000 33.950
Sm 0.000 0.000 0.000
Tl 0.000 0.000 18.803
! relative energy among the computed polymorphs	190.8	meV per atom
! space-group type	R-3m, No. 166

=====

# 5
! PBE SrSm3Tl2, optimized geometry; values from VASP
&SYSTEM
  ibrav = 0, nat = 12, ntyp = 3
/
ATOMIC_SPECIES
Sr 87.62 Sr.upf
Sm 150.36 Sm.upf
Tl 204.38 Tl.upf
CELL_PARAMETERS angstrom
5.505 0.000 0.000
0.000 9.695 0.000
0.000 0.000 7.158
ATOMIC_POSITIONS angstrom
Sr 0.000 0.297 0.000
Sr 0.000 9.398 3.579
Sm 0.000 3.255 5.035
Sm 0.000 6.440 1.456
Sm 2.752 1.701 2.043
Sm 2.752 4.595 7.047
Sm 2.752 5.100 3.468
Sm 2.752 7.993 5.622
Tl 0.000 3.301 1.713
Tl 0.000 6.393 5.292
Tl 2.752 1.599 5.353
Tl 2.752 8.096 1.774
! relative energy among the computed polymorphs	0.0	meV per atom
! space-group type	Pmc2_1, No. 26

=====

# 6
! PBE SrSmTm2, optimized geometry; values from VASP
&SYSTEM
  ibrav = 0, nat = 4, ntyp = 3
/
ATOMIC_SPECIES
Sr 87.62 Sr.upf
Sm 150.36 Sm.upf
Tm 168.93 Tm.upf
CELL_PARAMETERS angstrom
1.799 1.039 12.708
-1.799 1.039 12.708
0.000 -2.077 12.708
ATOMIC_POSITIONS angstrom
Sr 0.000 0.000 0.000
Sm 0.000 0.000 19.062
Tm 0.000 0.000 3.534
Tm 0.000 0.000 34.590
! relative energy among the computed polymorphs	103.6	meV per atom
! space-group type	R-3m, No. 166

=====

# 7
! PBE SrSmTm2, optimized geometry; values from VASP
&SYSTEM
  ibrav = 0, nat = 4, ntyp = 3
/
ATOMIC_SPECIES
Sr 87.62 Sr.upf
Sm 150.36 Sm.upf
Tm 168.93 Tm.upf
CELL_PARAMETERS angstrom
1.830 1.056 12.059
-1.830 1.056 12.059
0.000 -2.113 12.059
ATOMIC_POSITIONS angstrom
Sr 0.000 0.000 0.000
Sm 0.000 0.000 5.996
Tm 0.000 0.000 20.876
Tm 0.000 0.000 27.328
! relative energy among the computed polymorphs	0.0	meV per atom
! space-group type	R3m, No. 160

=====

# 8
! PBE SrSmTm, optimized geometry; values from VASP
&SYSTEM
  ibrav = 0, nat = 3, ntyp = 3
/
ATOMIC_SPECIES
Sr 87.62 Sr.upf
Sm 150.36 Sm.upf
Tm 168.93 Tm.upf
CELL_PARAMETERS angstrom
3.729 0.000 0.000
-1.864 3.229 0.000
0.000 0.000 9.265
ATOMIC_POSITIONS angstrom
Sr 0.000 0.000 0.000
Sm 0.000 2.153 5.922
Tm 1.864 1.076 3.214
! relative energy among the computed polymorphs	23.1	meV per atom
! space-group type	P3m1, No. 156

=====

# 9
! PBE SrSm2Tm, optimized geometry; values from VASP
&SYSTEM
  ibrav = 0, nat = 4, ntyp = 3
/
ATOMIC_SPECIES
Sr 87.62 Sr.upf
Sm 150.36 Sm.upf
Tm 168.93 Tm.upf
CELL_PARAMETERS angstrom
4.061 0.000 0.000
0.000 4.061 0.000
0.000 0.000 9.159
ATOMIC_POSITIONS angstrom
Sr 0.000 0.000 0.000
Sm 2.031 2.031 2.718
Sm 2.031 2.031 6.441
Tm 0.000 0.000 4.580
! relative energy among the computed polymorphs	8.3	meV per atom
! space-group type	P4/mmm, No. 123

=====

# 10
! PBE SrSmTm, optimized geometry; values from VASP
&SYSTEM
  ibrav = 0, nat = 3, ntyp = 3
/
ATOMIC_SPECIES
Sr 87.62 Sr.upf
Sm 150.36 Sm.upf
Tm 168.93 Tm.upf
CELL_PARAMETERS angstrom
-1.870 1.870 8.031
1.870 -1.870 8.031
1.870 1.870 -8.031
ATOMIC_POSITIONS angstrom
Sr 0.000 0.000 0.000
Sm 0.000 0.000 10.964
Tm 0.000 0.000 5.165
! relative energy among the computed polymorphs	0.0	meV per atom
! space-group type	I4mm, No. 107

=====

# 11
! PBE SrSmTm2, optimized geometry; values from VASP
&SYSTEM
  ibrav = 0, nat = 4, ntyp = 3
/
ATOMIC_SPECIES
Sr 87.62 Sr.upf
Sm 150.36 Sm.upf
Tm 168.93 Tm.upf
CELL_PARAMETERS angstrom
3.678 0.000 0.000
0.000 3.678 0.000
0.000 0.000 10.532
ATOMIC_POSITIONS angstrom
Sr 0.000 0.000 0.000
Sm 0.000 0.000 5.266
Tm 1.839 1.839 2.932
Tm 1.839 1.839 7.600
! relative energy among the computed polymorphs	2.6	meV per atom
! space-group type	P4/mmm, No. 123

=====

# 12
! PBE SrSm2Tm, optimized geometry; values from VASP
&SYSTEM
  ibrav = 0, nat = 4, ntyp = 3
/
ATOMIC_SPECIES
Sr 87.62 Sr.upf
Sm 150.36 Sm.upf
Tm 168.93 Tm.upf
CELL_PARAMETERS angstrom
5.232 0.000 0.000
0.000 5.232 0.000
0.000 0.000 5.234
ATOMIC_POSITIONS angstrom
Sr 0.000 0.000 0.000
Sm 0.000 2.616 2.617
Sm 2.616 0.000 2.617
Tm 2.616 2.616 0.000
! relative energy among the computed polymorphs	79.8	meV per atom
! space-group type	P4/mmm, No. 123

=====

M_tot / μB per formula unit: 0.00, 0.00, 0.00, 0.69, 0.50, 0.00, 0.00, 0.00, 0.00, 0.00, 0.00, 0.00
ΔH_f (0 K) / eV per atom: -0.41, 0.10, -0.38, 0.12, -0.26, 0.24, 0.14, 0.15, 0.12, 0.13, 0.14, 0.19
Calculated volume / Å³ per cell: 331.5, 148.8, 298.3, 162.2, 382.0, 142.5, 139.8, 111.5, 151.1, 112.3, 142.5, 143.3